1.
This record from Alexandria via LeMat-Bulk describes a relaxed AgP2IrCl crystal. The functional is GGA-PBE.

a b c (Å): 4.756 4.756 4.730
angles (deg): 90.00 90.00 90.00
Space group P4/mmm (No. 123)
One atom of each set of equivalent atoms:
Ag 0.000 0.000 0.000 [1 per cell]
P 0.000 0.500 0.000 [2 per cell]
Ir 0.500 0.500 0.500 [1 per cell]
Cl 0.000 0.000 0.500 [1 per cell]

**Energy**: -3.2633 eV per atom
**Excess energy over the best structure of this formula in the dataset**: 25.61 kcal/mol of atoms
**Crystal system**: tetragonal
**Energy relative to the elements, uncorrected**: 1.6124 eV/atom


2.
This record from Alexandria via LeMat-Bulk describes a relaxed CaReRh2 crystal. The functional is GGA-PBE.

a b c (Å): 7.353 7.353 5.799
angles (deg): 90.00 90.00 90.00
Space group I-42d (No. 122)
One atom of each set of equivalent atoms:
Ca 0.000 0.000 0.000 [4 per cell]
Re 0.000 0.000 0.500 [4 per cell]
Rh 0.192 0.250 0.625 [8 per cell]

**Energy**: -6.9042 eV per atom
**Excess energy over the best structure of this formula in the dataset**: 10.33 kcal/mol of atoms
**ΔH_f (0 K)**: 0.3839 eV per atom
**Crystal system**: tetragonal


3.
This record from Alexandria via LeMat-Bulk describes a relaxed TmB3Rh3 crystal. The functional is GGA-PBE.

a b c (Å): 6.972 6.972 6.972
angles (deg): 90.00 90.00 90.00
Space group P2_13 (No. 198)
One atom of each set of equivalent atoms:
Tm 0.050 0.450 0.550 [4 per cell]
B 0.029 0.821 0.557 [12 per cell]
Rh 0.092 0.592 0.908 [4 per cell]
Rh 0.182 0.182 0.182 [4 per cell]
Rh 0.216 0.784 0.284 [4 per cell]

**Energy**: -6.9947 eV per atom
**ΔH_f (0 K)**: -0.3436 eV per atom
**Crystal system**: cubic


4.
This record from Alexandria via LeMat-Bulk describes a relaxed MnCr2Ag crystal. The functional is GGA-PBE.

a b c (Å): 3.022 4.229 8.391
angles (deg): 90.00 90.00 90.00
Space group Immm (No. 71)
One atom of each set of equivalent atoms:
Mn 0.000 0.000 0.000 [2 per cell]
Cr 0.000 0.500 0.271 [4 per cell]
Ag 0.000 0.000 0.500 [2 per cell]

**Energy**: -7.2660 eV per atom
**Excess energy over the best structure of this formula in the dataset**: 5.86 kcal/mol of atoms
**ΔH_f (0 K)**: 0.5509 eV per atom
**Crystal system**: orthorhombic


5.
This record from Alexandria via LeMat-Bulk describes a relaxed ZnMoBr crystal. The functional is GGA-PBE.

a b c (Å): 3.1710 3.1710 6.7621
angles (deg): 90.00 90.00 120.00
Space group P3m1 (No. 156)
One atom of each set of equivalent atoms:
Zn 0.0000 0.0000 0.0000 [1 per cell]
Mo 0.6667 0.3333 0.7117 [1 per cell]
Br 0.0000 0.0000 0.4431 [1 per cell]

**Energy**: -4.2936 eV per atom
**Excess energy over the best structure of this formula in the dataset**: 5.51 kcal/mol of atoms
**Crystal system**: trigonal
**Energy relative to the elements, uncorrected**: 0.2991 eV/atom


6.
This record from Alexandria via LeMat-Bulk describes a relaxed Sn2GeF8 crystal. The functional is GGA-PBE.

a b c (Å): 10.156 7.361 5.145
angles (deg): 90.00 107.86 90.00
Space group C2/m (No. 12)
One atom of each set of equivalent atoms:
Sn 0.152 0.000 0.288 [4 per cell]
Ge 0.000 0.500 0.000 [2 per cell]
F 0.082 0.000 0.844 [4 per cell]
F 0.107 0.323 0.224 [8 per cell]
F 0.118 0.500 0.798 [4 per cell]

**Energy**: -4.8857 eV per atom
**Crystal system**: monoclinic
**Energy relative to the elements, uncorrected**: -2.3772 eV/atom


7.
This record from Alexandria via LeMat-Bulk describes a relaxed SiRu2Cl crystal. The functional is GGA-PBE.

a b c (Å): 2.840 4.958 9.377
angles (deg): 90.00 90.00 90.00
Space group Cmm2 (No. 35)
One atom of each set of equivalent atoms:
Si 0.000 0.000 0.000 [2 per cell]
Ru 0.000 0.000 0.451 [2 per cell]
Ru 0.000 0.500 0.209 [2 per cell]
Cl 0.000 0.500 0.655 [2 per cell]

**Energy**: -5.9983 eV per atom
**Excess energy over the best structure of this formula in the dataset**: 11.96 kcal/mol of atoms
**Crystal system**: orthorhombic
**Energy relative to the elements, uncorrected**: 0.4570 eV/atom


8.
This record from Alexandria via LeMat-Bulk describes a relaxed RbTlS2 crystal. The functional is GGA-PBE.

a b c (Å): 7.641 7.641 7.641
angles (deg): 90.00 90.00 90.00
Space group Fm-3m (No. 225)
One atom of each set of equivalent atoms:
Rb 0.000 0.000 0.000 [4 per cell]
Tl 0.000 0.000 0.500 [4 per cell]
S 0.250 0.250 0.250 [8 per cell]

**Energy**: -3.0131 eV per atom
**Excess energy over the best structure of this formula in the dataset**: 12.00 kcal/mol of atoms
**Crystal system**: cubic
**Energy relative to the elements, uncorrected**: -0.1159 eV/atom


9.
This record from Alexandria via LeMat-Bulk describes a relaxed ScTlMo2 crystal. The functional is GGA-PBE.

a b c (Å): 10.085 3.293 4.880
angles (deg): 90.00 104.08 90.00
Space group C2/m (No. 12)
One atom of each set of equivalent atoms:
Sc 0.000 0.000 0.000 [2 per cell]
Tl 0.000 0.500 0.500 [2 per cell]
Mo 0.248 0.000 0.802 [4 per cell]

**Energy**: -7.2230 eV per atom
**Excess energy over the best structure of this formula in the dataset**: 6.99 kcal/mol of atoms
**ΔH_f (0 K)**: 0.3670 eV per atom
**Crystal system**: monoclinic


10.
This record from Alexandria via LeMat-Bulk describes a relaxed Tl7Hg3Pb crystal. The functional is GGA-PBE.

a b c (Å): 7.2262 7.2262 7.5935
angles (deg): 90.00 90.00 120.00
Space group P3m1 (No. 156)
One atom of each set of equivalent atoms:
Tl 0.0000 0.0000 0.0000 [1 per cell]
Tl 0.0177 0.5089 0.0236 [3 per cell]
Tl 0.1746 0.3492 0.6391 [3 per cell]
Hg 0.3422 0.1711 0.3344 [3 per cell]
Pb 0.6667 0.3333 0.6867 [1 per cell]

**Energy**: -1.8829 eV per atom
**ΔH_f (0 K)**: 0.0424 eV per atom
**Crystal system**: trigonal


11.
This record from Alexandria via LeMat-Bulk describes a relaxed Nd3TmPt2 crystal. The functional is GGA-PBE.

a b c (Å): 15.570 4.671 4.738
angles (deg): 90.00 107.65 90.00
Space group C2/m (No. 12)
One atom of each set of equivalent atoms:
Nd 0.000 0.000 0.000 [2 per cell]
Nd 0.186 0.500 0.186 [4 per cell]
Tm 0.000 0.500 0.500 [2 per cell]
Pt 0.125 0.000 0.624 [4 per cell]

**Energy**: -5.9039 eV per atom
**ΔH_f (0 K)**: -0.7611 eV per atom
**Crystal system**: monoclinic


12.
This record from Alexandria via LeMat-Bulk describes a relaxed BeNb2Br2 crystal. The functional is GGA-PBE.

a b c (Å): 4.247 4.247 11.936
angles (deg): 90.00 90.00 90.00
Space group I4/mmm (No. 139)
One atom of each set of equivalent atoms:
Be 0.000 0.000 0.000 [2 per cell]
Nb 0.000 0.000 0.397 [4 per cell]
Br 0.000 0.500 0.250 [4 per cell]

**Energy**: -4.6919 eV per atom
**Excess energy over the best structure of this formula in the dataset**: 4.21 kcal/mol of atoms
**Crystal system**: tetragonal
**Energy relative to the elements, uncorrected**: 0.7504 eV/atom